(1)
Density functional theory data (PBE-GGA) for a relaxed Dy5Cd4Ag crystal.

abc: 3.715 3.715 18.660
angles: 90.00 90.00 90.00
Space group P4/mmm (No. 123)
Unique sites:
Dy: 0.000 0.000 0.000 (multiplicity 1)
Dy: 0.000 0.000 0.202 (multiplicity 2)
Dy: 0.000 0.000 0.405 (multiplicity 2)
Cd: 0.500 0.500 0.101 (multiplicity 2)
Cd: 0.500 0.500 0.302 (multiplicity 2)
Ag: 0.500 0.500 0.500 (multiplicity 1)

Output
As for the crystal system: tetragonal. The formation enthalpy at 0 K comes out at -0.32 eV per atom.

(2)
Density functional theory data (PBE-GGA) for a relaxed La6Dy12Y crystal.

abc: 13.3953 13.3953 12.7298
angles: 90.00 90.00 120.00
Space group R-3m (No. 166, hexagonal axes)
Unique sites:
La: 0.0397 0.5199 0.1147 (multiplicity 18)
Dy: 0.0000 0.2547 0.0000 (multiplicity 18)
Dy: 0.0915 0.1830 0.7635 (multiplicity 18)
Y: 0.0000 0.0000 0.5000 (multiplicity 3)

Output
As for the crystal system: trigonal. The formation enthalpy at 0 K comes out at 0.22 eV per atom.

(3)
Density functional theory data (PBE-GGA) for a relaxed Pr6TlIn2 crystal.

abc: 8.6457 8.6457 4.5797
angles: 90.00 90.00 120.00
Space group P-62m (No. 189)
Unique sites:
Pr: 0.0000 0.4023 0.0000 (multiplicity 3)
Pr: 0.0000 0.7285 0.5000 (multiplicity 3)
Tl: 0.0000 0.0000 0.0000 (multiplicity 1)
In: 0.3333 0.6667 0.5000 (multiplicity 2)

Output
As for the crystal system: hexagonal. As for the energy above the most stable polymorph in this dataset: 0 meV/atom. The formation enthalpy at 0 K comes out at -0.29 eV per atom.

(4)
Density functional theory data (PBE-GGA) for a relaxed La2FeGe3Ir4 crystal.

abc: 4.245 4.245 10.404
angles: 90.00 90.00 90.00
Space group P-4m2 (No. 115)
Unique sites:
La: 0.000 0.500 0.244 (multiplicity 2)
Fe: 0.500 0.500 0.000 (multiplicity 1)
Ge: 0.000 0.000 0.000 (multiplicity 1)
Ge: 0.000 0.500 0.629 (multiplicity 2)
Ir: 0.000 0.000 0.500 (multiplicity 1)
Ir: 0.000 0.500 0.869 (multiplicity 2)
Ir: 0.500 0.500 0.500 (multiplicity 1)

Output
As for the crystal system: tetragonal. The formation enthalpy at 0 K comes out at -0.70 eV per atom.

(5)
Density functional theory data (PBE-GGA) for a relaxed MgMnAu crystal.

abc: 3.445 3.445 8.861
angles: 90.00 90.00 90.00
Space group I4mm (No. 107)
Unique sites:
Mg: 0.000 0.000 0.000 (multiplicity 2)
Mn: 0.000 0.000 0.324 (multiplicity 2)
Au: 0.000 0.000 0.666 (multiplicity 2)

Output
As for the crystal system: tetragonal. The formation enthalpy at 0 K comes out at -0.11 eV per atom.

(6)
Density functional theory data (PBE-GGA) for a relaxed Nd2AgSe crystal.

abc: 4.2211 4.2211 22.0255
angles: 90.00 90.00 120.00
Space group R-3m (No. 166, hexagonal axes)
Unique sites:
Nd: 0.0000 0.0000 0.2449 (multiplicity 6)
Ag: 0.0000 0.0000 0.0000 (multiplicity 3)
Se: 0.0000 0.0000 0.5000 (multiplicity 3)

Output
As for the crystal system: trigonal. As for the energy above the most stable polymorph in this dataset: 76 meV/atom. As for the formation energy (no corrections): -0.96 eV/atom.

(7)
Density functional theory data (PBE-GGA) for a relaxed Nd2MnSn3Rh4 crystal.

abc: 4.351 4.351 11.095
angles: 90.00 90.00 90.00
Space group P-4m2 (No. 115)
Unique sites:
Nd: 0.000 0.500 0.247 (multiplicity 2)
Mn: 0.500 0.500 0.000 (multiplicity 1)
Sn: 0.000 0.000 0.000 (multiplicity 1)
Sn: 0.000 0.500 0.632 (multiplicity 2)
Rh: 0.000 0.000 0.500 (multiplicity 1)
Rh: 0.000 0.500 0.866 (multiplicity 2)
Rh: 0.500 0.500 0.500 (multiplicity 1)

Output
As for the crystal system: tetragonal. The formation enthalpy at 0 K comes out at -0.61 eV per atom.

(8)
Density functional theory data (PBE-GGA) for a relaxed Tb5Cd4Ni crystal.

abc: 3.611 3.611 19.237
angles: 90.00 90.00 90.00
Space group P4/mmm (No. 123)
Unique sites:
Tb: 0.000 0.000 0.000 (multiplicity 1)
Tb: 0.000 0.000 0.207 (multiplicity 2)
Tb: 0.000 0.000 0.417 (multiplicity 2)
Cd: 0.500 0.500 0.103 (multiplicity 2)
Cd: 0.500 0.500 0.310 (multiplicity 2)
Ni: 0.500 0.500 0.500 (multiplicity 1)

Output
As for the crystal system: tetragonal. The formation enthalpy at 0 K comes out at -0.32 eV per atom.